# VCO2F, optimized geometry, DFT GGA+U
# Fermi-level density of states = 1.48 states/eV/cell
# Final energy = -27.83 eV/f.u.
data_VCO2F
_chemical_formula_sum 'V1 C1 O2 F1'
_symmetry_space_group_name_H-M 'P 4/m m m'
_symmetry_Int_Tables_number 123
_symmetry_space_group_name_Hall '-P 4 2'
_cell_length_a 3.584
_cell_length_b 3.584
_cell_length_c 3.521
_cell_angle_alpha 90.00
_cell_angle_beta 90.00
_cell_angle_gamma 90.00
loop_
_atom_site_label
_atom_site_fract_x
_atom_site_fract_y
_atom_site_fract_z
V1 0.000 0.000 0.000
C1 0.500 0.500 0.500
O1 0.000 0.500 0.500
F1 0.500 0.500 0.000